# 1
Here is RbTlAsH after structural relaxation from Alexandria. Energies are from PBE.

- ΔE to the lowest computed polymorph (eV per formula unit) = 0.00
- crystal system = trigonal

```
RbTlAsH
1.0
4.845 0.000 0.000
-2.422 4.196 0.000
0.000 0.000 5.924
Rb Tl As H
1 1 1 1
Direct
0.000 0.000 0.000
0.333 0.667 0.554
0.667 0.333 0.358
0.667 0.333 0.091
```

=====

# 2
Here is Rb2Zn2As2H after structural relaxation from Alexandria. Energies are from PBE.

- Fermi-level density of states (states/eV per atom) = 0.463
- crystal system = monoclinic

```
Rb2Zn2As2H
1.0
12.116 0.000 0.000
0.000 4.294 0.000
-4.588 0.000 6.763
Rb Zn As H
4 4 4 2
Direct
0.058 0.000 0.325
0.442 0.500 0.675
0.558 0.500 0.325
0.942 0.000 0.675
0.173 0.500 0.070
0.327 0.000 0.930
0.673 0.000 0.070
0.827 0.500 0.930
0.202 0.500 0.781
0.298 0.000 0.219
0.702 0.000 0.781
0.798 0.500 0.219
0.000 0.500 0.000
0.500 0.000 0.000
```

=====

# 3
Here is RbZnAsH after structural relaxation from Alexandria. Energies are from PBE.

- Fermi-level density of states (states/eV per atom) = 0.607
- crystal system = trigonal

```
RbZnAsH
1.0
4.246 0.000 0.000
-2.123 3.677 0.000
0.000 0.000 6.045
Rb Zn As H
1 1 1 1
Direct
0.000 0.000 0.000
0.667 0.333 0.532
0.333 0.667 0.433
0.667 0.333 0.805
```

=====

# 4
Here is ReAs2H after structural relaxation from Alexandria. Energies are from PBE.

- ΔE to the lowest computed polymorph (eV per formula unit) = 0.06
- Fermi-level density of states (states/eV per atom) = 0.820
- crystal system = cubic

```
ReAs2H
1.0
6.051 0.000 0.000
0.000 6.051 0.000
0.000 0.000 6.051
Re As H
4 8 4
Direct
0.000 0.000 0.000
0.000 0.500 0.500
0.500 0.000 0.500
0.500 0.500 0.000
0.250 0.250 0.250
0.250 0.250 0.750
0.250 0.750 0.250
0.250 0.750 0.750
0.750 0.250 0.250
0.750 0.250 0.750
0.750 0.750 0.250
0.750 0.750 0.750
0.000 0.000 0.500
0.000 0.500 0.000
0.500 0.000 0.000
0.500 0.500 0.500
```

=====

# 5
Here is Re2AsH after structural relaxation from Alexandria. Energies are from PBE.

- ΔE to the lowest computed polymorph (eV per formula unit) = 0.99
- Fermi-level density of states (states/eV per atom) = 1.236
- crystal system = cubic

```
Re2AsH
1.0
5.862 0.000 0.000
0.000 5.862 0.000
0.000 0.000 5.862
Re As H
8 4 4
Direct
0.250 0.250 0.250
0.250 0.250 0.750
0.250 0.750 0.250
0.250 0.750 0.750
0.750 0.250 0.250
0.750 0.250 0.750
0.750 0.750 0.250
0.750 0.750 0.750
0.000 0.000 0.000
0.000 0.500 0.500
0.500 0.000 0.500
0.500 0.500 0.000
0.000 0.000 0.500
0.000 0.500 0.000
0.500 0.000 0.000
0.500 0.500 0.500
```

=====

# 6
Here is Re2AsH after structural relaxation from Alexandria. Energies are from PBE.

- ΔE to the lowest computed polymorph (eV per formula unit) = 0.00
- Fermi-level density of states (states/eV per atom) = 0.242
- crystal system = tetragonal

```
Re2AsH
1.0
4.749 0.000 0.000
0.000 4.749 0.000
0.000 0.000 9.943
Re As H
8 4 4
Direct
0.111 0.250 0.125
0.250 0.611 0.375
0.250 0.889 0.875
0.389 0.250 0.625
0.611 0.750 0.625
0.750 0.111 0.875
0.750 0.389 0.375
0.889 0.750 0.125
0.000 0.000 0.500
0.000 0.500 0.750
0.500 0.000 0.250
0.500 0.500 0.000
0.000 0.000 0.000
0.000 0.500 0.250
0.500 0.000 0.750
0.500 0.500 0.500
```

=====

The following final energy values (in eV/atom) correspond, in order, to the records above: -3.02 -2.74 -2.67 -5.58 -7.35 -7.59.